A plane-wave DFT calculation with GGA+U was carried out for RbNi2AgF8 after structural relaxation.

Lattice parameters (Å, degrees): 5.1473 5.2159 6.6425 88.91 88.97 83.81
Closest atoms and distances in Å follow each position.
Atoms (fractional coordinates):
Rb 0.0000 0.0000 0.0000  6 F 2.52-2.73
Ni 0.4994 0.4999 0.7390  6 F 2.04-2.11
Ni 0.5006 0.5001 0.2610  6 F 2.04-2.11
Ag 0.0000 0.0000 0.5000  4 F 2.04
F 0.1536 0.7272 0.7012  1 Ag 2.04, 1 Ni 2.05
F 0.1573 0.7299 0.3022  1 Ag 2.04, 1 Ni 2.04
F 0.3772 0.2957 0.5038  2 Ni 2.05
F 0.3979 0.3054 0.0043  2 Ni 2.10-2.11
F 0.6021 0.6946 0.9957  2 Ni 2.10-2.11
F 0.6228 0.7043 0.4962  2 Ni 2.05
F 0.8427 0.2701 0.6978  1 Ag 2.04, 1 Ni 2.04
F 0.8464 0.2728 0.2988  1 Ag 2.04, 1 Ni 2.05

- Space-group type: P-1
- DOS(E_F): 0.52 states/eV/atom
- Crystal system: triclinic
- Calculated total energy: -3.766 eV/atom